Entry 1:
This record from the Alexandria database describes LaDyTm2P4 after structural relaxation. The functional is PBE.

The structure belongs to space group P2/m (No. 10); the cell edges are 7.004, 4.050 and 7.011 Å and the angles 90.00°, 109.44° and 90.00°. The inequivalent atoms are La at (0.000, 0.000, 0.000), Dy at (0.000, 0.500, 0.500), Tm at (0.500, 0.000, 0.500), Tm at (0.500, 0.500, 0.000), P at (0.258, 0.000, 0.747) and P at (0.263, 0.500, 0.261).


Entry 2:
This record from the Alexandria database describes La3Dy2TmP6 after structural relaxation. The functional is PBE.

The structure belongs to space group C2/m (No. 12); the cell edges are 7.159, 12.398 and 7.155 Å and the angles 90.00°, 109.47° and 90.00°. The inequivalent atoms are La at (0.000, 0.000, 0.000), La at (0.000, 0.333, 0.000), Dy at (0.000, 0.167, 0.500), Tm at (0.000, 0.500, 0.500), P at (0.244, 0.334, 0.735) and P at (0.247, 0.000, 0.735).


Entry 3:
This record from the Alexandria database describes La3DyTm2P6 after structural relaxation. The functional is PBE.

The structure belongs to space group C2/m (No. 12); the cell edges are 7.142, 12.370 and 7.137 Å and the angles 90.00°, 109.48° and 90.00°. The inequivalent atoms are La at (0.000, 0.000, 0.000), La at (0.000, 0.334, 0.000), Dy at (0.000, 0.500, 0.500), Tm at (0.000, 0.167, 0.500), P at (0.243, 0.000, 0.734) and P at (0.246, 0.332, 0.734).


Entry 4:
This record from the Alexandria database describes La2DyUP4 after structural relaxation. The functional is PBE.

The structure belongs to space group P2/m (No. 10); the cell edges are 7.094, 4.096 and 7.162 Å and the angles 90.00°, 109.14° and 90.00°. The inequivalent atoms are La at (0.000, 0.000, 0.000), La at (0.500, 0.500, 0.000), Dy at (0.000, 0.500, 0.500), U at (0.500, 0.000, 0.500), P at (0.250, 0.000, 0.730) and P at (0.262, 0.500, 0.272).


In the order shown, the computed calculated total energy values come out to -6.5913; -6.6530; -6.6381; -7.3402 eV/atom.